one) Entry from Alexandria via LeMat-Bulk: Tm3Sb2Se after structural relaxation (GGA-PBE).

Output
N(E_F)   5.528 states/eV per cell
Spin magnetization   0.00 μB per cell
Mass density   8528 kg/m3

Unit cell a=14.062 b=13.405 c=7.341 alpha=79.50 beta=69.61 gamma=30.88
Fractional coordinates of all 24 atoms:
Tm1 0.041 0.539 0.204
Tm2 0.116 0.634 0.634
Tm3 0.204 0.716 0.041
Tm4 0.284 0.796 0.461
Tm5 0.366 0.884 0.884
Tm6 0.461 0.959 0.284
Tm7 0.539 0.041 0.716
Tm8 0.634 0.116 0.116
Tm9 0.716 0.204 0.539
Tm10 0.796 0.284 0.959
Tm11 0.884 0.366 0.366
Tm12 0.959 0.461 0.796
Sb1 0.126 0.126 0.624
Sb2 0.293 0.293 0.457
Sb3 0.376 0.376 0.874
Sb4 0.457 0.457 0.293
Sb5 0.543 0.543 0.707
Sb6 0.624 0.624 0.126
Sb7 0.707 0.707 0.543
Sb8 0.874 0.874 0.376
Se1 0.042 0.042 0.208
Se2 0.208 0.208 0.042
Se3 0.792 0.792 0.958
Se4 0.958 0.958 0.792

---

two) Entry from Alexandria via LeMat-Bulk: Tm3Sb2Se after structural relaxation (GGA-PBE).

Output
N(E_F)   4.651 states/eV per cell
Spin magnetization   0.93 μB per cell
Mass density   7807 kg/m3

Unit cell a=7.414 b=7.414 c=6.941 alpha=90.00 beta=90.00 gamma=67.63
Fractional coordinates of all 12 atoms:
Tm1 0.072 0.928 0.750
Tm2 0.327 0.327 0.000
Tm3 0.327 0.327 0.500
Tm4 0.673 0.673 0.000
Tm5 0.673 0.673 0.500
Tm6 0.928 0.072 0.250
Sb1 0.024 0.644 0.250
Sb2 0.356 0.976 0.250
Sb3 0.644 0.024 0.750
Sb4 0.976 0.356 0.750
Se1 0.407 0.593 0.750
Se2 0.593 0.407 0.250

---

Quick one: most stable of them? one)

---

one) Entry from Alexandria via LeMat-Bulk: USb2Se6 after structural relaxation (GGA-PBE).

Output
N(E_F)   2.643 states/eV per cell
Spin magnetization   0.12 μB per cell
Mass density   5328 kg/m3

Unit cell a=7.789 b=7.789 c=10.345 alpha=108.92 beta=108.92 gamma=30.25
Fractional coordinates of all 9 atoms:
U1 0.000 0.000 0.000
Sb1 0.144 0.144 0.350
Sb2 0.856 0.856 0.650
Se1 0.048 0.048 0.775
Se2 0.368 0.368 0.485
Se3 0.370 0.370 0.907
Se4 0.630 0.630 0.093
Se5 0.632 0.632 0.515
Se6 0.952 0.952 0.225

---

two) Entry from Alexandria via LeMat-Bulk: USb2Se6 after structural relaxation (GGA-PBE).

Output
N(E_F)   3.709 states/eV per cell
Spin magnetization   0.17 μB per cell
Mass density   5347 kg/m3

Unit cell a=9.203 b=9.203 c=8.301 alpha=102.46 beta=102.46 gamma=25.64
Fractional coordinates of all 9 atoms:
U1 0.000 0.000 0.000
Sb1 0.331 0.331 0.647
Sb2 0.669 0.669 0.353
Se1 0.152 0.152 0.091
Se2 0.174 0.174 0.591
Se3 0.497 0.497 0.220
Se4 0.503 0.503 0.780
Se5 0.826 0.826 0.409
Se6 0.848 0.848 0.909

---

Quick one: most stable of them? two)

---

one) Entry from Alexandria via LeMat-Bulk: VSb3Se after structural relaxation (GGA-PBE).

Output
N(E_F)   4.918 states/eV per cell
Spin magnetization   0.26 μB per cell
Mass density   6295 kg/m3

Unit cell a=5.074 b=5.074 c=5.074 alpha=90.00 beta=90.00 gamma=90.00
Fractional coordinates of all 5 atoms:
V1 0.000 0.000 0.000
Sb1 0.000 0.000 0.500
Sb2 0.000 0.500 0.000
Sb3 0.500 0.000 0.000
Se1 0.500 0.500 0.500

---

two) Entry from Alexandria via LeMat-Bulk: VSb3Se after structural relaxation (GGA-PBE).

Output
N(E_F)   6.470 states/eV per cell
Spin magnetization   3.75 μB per cell
Mass density   5347 kg/m3

Unit cell a=5.358 b=5.358 c=5.358 alpha=90.00 beta=90.00 gamma=90.00
Fractional coordinates of all 5 atoms:
V1 0.000 0.000 0.000
Sb1 0.000 0.500 0.500
Sb2 0.500 0.000 0.500
Sb3 0.500 0.500 0.000
Se1 0.500 0.500 0.500

---

Quick one: most stable of them? one)

---

one) Entry from Alexandria via LeMat-Bulk: Sb3WSe after structural relaxation (GGA-PBE).

Output
N(E_F)   2.941 states/eV per cell
Spin magnetization   0.00 μB per cell
Mass density   7413 kg/m3

Unit cell a=5.201 b=5.201 c=5.201 alpha=90.00 beta=90.00 gamma=90.00
Fractional coordinates of all 5 atoms:
Sb1 0.000 0.000 0.500
Sb2 0.000 0.500 0.000
Sb3 0.500 0.000 0.000
W1 0.000 0.000 0.000
Se1 0.500 0.500 0.500

---

two) Entry from Alexandria via LeMat-Bulk: Sb3WSe after structural relaxation (GGA-PBE).

Output
N(E_F)   2.420 states/eV per cell
Spin magnetization   3.14 μB per cell
Mass density   7129 kg/m3

Unit cell a=5.269 b=5.269 c=5.269 alpha=90.00 beta=90.00 gamma=90.00
Fractional coordinates of all 5 atoms:
Sb1 0.000 0.000 0.500
Sb2 0.000 0.500 0.000
Sb3 0.500 0.000 0.000
W1 0.500 0.500 0.500
Se1 0.000 0.000 0.000

---

Quick one: most stable of them? one)

---

one) Entry from Alexandria via LeMat-Bulk: SbWSe after structural relaxation (GGA-PBE).

Output
N(E_F)   12.822 states/eV per cell
Spin magnetization   1.64 μB per cell
Mass density   9724 kg/m3

Unit cell a=6.404 b=6.404 c=6.404 alpha=90.00 beta=90.00 gamma=90.00
Fractional coordinates of all 12 atoms:
Sb1 0.000 0.000 0.000
Sb2 0.000 0.500 0.500
Sb3 0.500 0.000 0.500
Sb4 0.500 0.500 0.000
W1 0.000 0.000 0.500
W2 0.000 0.500 0.000
W3 0.500 0.000 0.000
W4 0.500 0.500 0.500
Se1 0.250 0.250 0.750
Se2 0.250 0.750 0.250
Se3 0.750 0.250 0.250
Se4 0.750 0.750 0.750

---

two) Entry from Alexandria via LeMat-Bulk: SbWSe after structural relaxation (GGA-PBE).

Output
N(E_F)   3.264 states/eV per cell
Spin magnetization   0.00 μB per cell
Mass density   8760 kg/m3

Unit cell a=3.260 b=3.260 c=7.920 alpha=90.00 beta=90.00 gamma=120.00
Fractional coordinates of all 3 atoms:
Sb1 0.000 0.000 0.000
W1 0.333 0.667 0.723
Se1 0.667 0.333 0.511

---

Quick one: most stable of them? two)

---

one) Entry from Alexandria via LeMat-Bulk: SbWSe after structural relaxation (GGA-PBE).

Output
N(E_F)   4.855 states/eV per cell
Spin magnetization   0.00 μB per cell
Mass density   9593 kg/m3

Unit cell a=6.648 b=6.648 c=6.238 alpha=103.12 beta=103.12 gamma=48.40
Fractional coordinates of all 9 atoms:
Sb1 0.000 0.000 0.000
Sb2 0.534 0.534 0.293
Sb3 0.634 0.634 0.851
W1 0.068 0.582 0.121
W2 0.144 0.144 0.729
W3 0.582 0.068 0.121
Se1 0.196 0.196 0.332
Se2 0.353 0.353 0.799
Se3 0.911 0.911 0.486

---

two) Entry from Alexandria via LeMat-Bulk: SbWSe after structural relaxation (GGA-PBE).

Output
N(E_F)   8.599 states/eV per cell
Spin magnetization   0.00 μB per cell
Mass density   9193 kg/m3

Unit cell a=3.193 b=5.423 c=16.048 alpha=90.00 beta=90.00 gamma=90.00
Fractional coordinates of all 12 atoms:
Sb1 0.000 0.000 0.000
Sb2 0.000 0.500 0.500
Sb3 0.500 0.000 0.500
Sb4 0.500 0.500 0.000
W1 0.000 0.000 0.648
W2 0.000 0.500 0.148
W3 0.500 0.000 0.148
W4 0.500 0.500 0.648
Se1 0.000 0.000 0.267
Se2 0.000 0.500 0.767
Se3 0.500 0.000 0.767
Se4 0.500 0.500 0.267

---

Quick one: most stable of them? one)